A plane-wave DFT calculation with PBE was carried out for a relaxed structure of BaAcCdBi.

Cell lengths 8.3893, 8.3893, 8.3893 Å; angles 90.00, 90.00, 90.00 degrees
Space group F-43m (No. 216)
Symmetry-distinct sites (fractional):
Ba 0.0000 0.0000 0.0000 (multiplicity 4)
Ac 0.0000 0.0000 0.5000 (multiplicity 4)
Cd 0.2500 0.2500 0.7500 (multiplicity 4)
Bi 0.2500 0.2500 0.2500 (multiplicity 4)

Output
Raw total energy in eV for the cell shown: -51.3
Formation enthalpy at 0 K in eV/atom: -0.4998
Calculated volume in Å³/cell: 590.4